Material: AgHSe2Br
Method: DFT, PBE-GGA
State: relaxed

POSCAR file:
```
AgHSe2Br
1.0
-3.660 -1.321 0.565
0.982 -3.429 -1.654
2.093 -2.792 7.032
H Se Br Ag
1 2 1 1
Direct
0.000 0.000 0.000
0.000 0.500 0.000
0.500 0.000 0.000
0.000 0.000 0.500
0.500 0.500 0.500
```

**Density of states at the Fermi level**: 0.423 states/eV per atom
**Energy above the most stable polymorph in this dataset**: 0.0 meV/atom
**E_tot**: -2.72 eV per atom
**Space group**: P4/mmm, No. 123
**M_tot**: 0.00 μB per cell



Material: AgHSeBr2
Method: DFT, PBE-GGA
State: relaxed

POSCAR file:
```
AgHSeBr2
1.0
5.386 0.000 0.000
0.000 5.386 0.000
0.000 0.000 5.157
H Se Br Ag
1 1 2 1
Direct
0.500 0.500 0.500
0.000 0.000 0.500
0.000 0.500 0.000
0.500 0.000 0.000
0.000 0.000 0.000
```

**Density of states at the Fermi level**: 0.417 states/eV per atom
**Energy above the most stable polymorph in this dataset**: 322.1 meV/atom
**E_tot**: -1.92 eV per atom
**Space group**: P4/mmm, No. 123
**M_tot**: 2.85 μB per cell